Below is crystalline MgMn2TlMo at its relaxed geometry, with properties calculated at the GGA-PBE level.

The structure belongs to space group P4/mmm (No. 123); the cell edges are 4.650, 4.650 and 4.795 Å and the angles 90.00°, 90.00° and 90.00°. The inequivalent atoms are Mg at (0.000, 0.000, 0.000), Mn at (0.000, 0.500, 0.000), Tl at (0.500, 0.500, 0.500) and Mo at (0.000, 0.000, 0.500).

Its magnetic moment is 1.365 μB per atom. The offset from the most stable computed form is 0 meV per atom. The calculation puts the total energy at -5.1494 eV/atom. Its calculated formation energy is 1477 meV per atom.